Computed, not measured: RbAs2PtBr after structural relaxation at the PBE level of DFT.

The structure belongs to space group P4/mmm (No. 123); the cell edges are 7.062, 7.062 and 6.165 Å and the angles 90.00°, 90.00° and 90.00°. The asymmetric unit holds Rb at (0.000, 0.000, 0.000), As at (0.000, 0.500, 0.000), Pt at (0.500, 0.500, 0.500) and Br at (0.000, 0.000, 0.500).

The calculation puts the density at 2.8 g/cm³. As for the formation energy from raw total energies: 1672 meV per atom. For the energy above the most stable polymorph in this dataset, the calculation gives 1892 meV per atom. As for the spin magnetization: 3.9 μB per formula unit. The total DFT energy (no corrections) comes out at -1.924 eV per atom.